VASP calculation (PBE) on a relaxed Pm12NdTh5 crystal.

POSCAR file:
```
Pm12NdTh5
1.0
9.4022 -5.4340 0.0000
9.4022 5.4340 0.0000
-2.0389 0.0000 5.9532
Pm Nd Th
12 1 5
direct
0.0036 0.3298 0.8328 Pm
0.1596 0.8404 0.0000 Pm
0.1672 0.4958 0.6637 Pm
0.3298 0.0036 0.8328 Pm
0.3349 0.6651 0.5000 Pm
0.4958 0.1672 0.6637 Pm
0.5042 0.8328 0.3363 Pm
0.6651 0.3349 0.5000 Pm
0.6702 0.9964 0.1672 Pm
0.8328 0.5042 0.3363 Pm
0.8404 0.1596 0.0000 Pm
0.9964 0.6702 0.1672 Pm
0.5000 0.5000 0.0000 Nd
0.0000 0.0000 0.5000 Th
0.1661 0.1661 0.3316 Th
0.3310 0.3310 0.1716 Th
0.6690 0.6690 0.8284 Th
0.8339 0.8339 0.6684 Th
```

Properties
V = 33.80 A^3/atom
Calculated formation energy = 61.1 meV per atom
Energy = -5.43 eV/atom
Space group = C2/m (12)
Fermi-level density of states = 28.728 states/eV/cell